A geometry-optimized Pr4AlAg2 structure, computed with PBE.

The structure belongs to space group R-3m (No. 166, hexagonal axes); the cell edges are 5.3003, 5.3003 and 25.4623 Å and the angles 90.00°, 90.00° and 120.00°. The distinct sites, in fractional coordinates, are Pr at (0.0000, 0.0000, 0.1183), Pr at (0.0000, 0.0000, 0.3720), Al at (0.0000, 0.0000, 0.5000) and Ag at (0.0000, 0.0000, 0.2428).

The energy above the most stable polymorph in this dataset comes out at 0.0 meV/atom. As for the energy of formation from the pure elements: -0.1407 eV/atom.

A geometry-optimized Li3SeI structure, computed with PBE.

The structure belongs to space group C2/m (No. 12); the cell edges are 13.664, 6.185 and 6.534 Å and the angles 90.00°, 110.26° and 90.00°. The distinct sites, in fractional coordinates, are Li at (0.053, 0.000, 0.224), Li at (0.239, 0.250, 0.779), Se at (0.140, 0.000, 0.939) and I at (0.133, 0.500, 0.400).

The energy above the most stable polymorph in this dataset comes out at 48.8 meV/atom. As for the formation energy from raw total energies: -110.11 kJ per mole of atoms.

A geometry-optimized Tb2Pu2Tl7 structure, computed with PBE.

The structure belongs to space group C2/m (No. 12); the cell edges are 11.950, 6.641 and 8.649 Å and the angles 90.00°, 94.04° and 90.00°. The distinct sites, in fractional coordinates, are Tb at (0.000, 0.249, 0.000), Pu at (0.234, 0.000, 0.500), Tl at (0.000, 0.500, 0.500), Tl at (0.006, 0.000, 0.688) and Tl at (0.245, 0.252, 0.823).

As for the energy of formation from the pure elements: 0.1418 eV/atom.

A geometry-optimized Zr12Zn6Os structure, computed with PBE.

The structure belongs to space group R-3 (No. 148, hexagonal axes); the cell edges are 10.1885, 10.1885 and 12.6252 Å and the angles 90.00°, 90.00° and 120.00°. The distinct sites, in fractional coordinates, are Zr at (0.0362, 0.8515, 0.3204), Zr at (0.0661, 0.2176, 0.9112), Zn at (0.0356, 0.5937, 0.2051) and Os at (0.0000, 0.0000, 0.5000).

As for the energy of formation from the pure elements: -0.0970 eV/atom.